Here is a geometry-optimized Pr3Si5Rh6 structure from Alexandria. Energies are from PBE.

Results
**SG**: Pmmn (59)
**V**: 505.3 Å³/cell
**Raw formation energy**: -978 meV/atom
**Spin magnetization**: 0.0 μB per cell

Geometry as CIF:
```
data_Pr3Si5Rh6
_chemical_formula_sum 'Pr6 Si10 Rh12'
_cell_length_a 4.018
_cell_length_b 10.022
_cell_length_c 12.550
_cell_angle_alpha 90.00
_cell_angle_beta 90.00
_cell_angle_gamma 90.00
_symmetry_space_group_name_H-M 'P 1'
_symmetry_Int_Tables_number 1
_symmetry_space_group_name_Hall 'P 1'
loop_
_atom_site_label
_atom_site_fract_x
_atom_site_fract_y
_atom_site_fract_z
Pr1 0.000 0.254 0.654
Pr2 0.500 0.746 0.154
Pr3 0.500 0.746 0.846
Pr4 0.000 0.258 0.000
Pr5 0.500 0.742 0.500
Pr6 0.000 0.254 0.346
Si1 0.000 0.508 0.875
Si2 0.000 0.854 0.675
Si3 0.000 0.901 0.000
Si4 0.500 0.492 0.625
Si5 0.500 0.099 0.500
Si6 0.000 0.508 0.125
Si7 0.500 0.492 0.375
Si8 0.000 0.854 0.325
Si9 0.500 0.146 0.825
Si10 0.500 0.146 0.175
Rh1 0.000 0.011 0.830
Rh2 0.500 0.989 0.670
Rh3 0.500 0.399 0.799
Rh4 0.500 0.511 0.000
Rh5 0.000 0.489 0.500
Rh6 0.000 0.601 0.701
Rh7 0.000 0.601 0.299
Rh8 0.500 0.024 0.000
Rh9 0.000 0.011 0.170
Rh10 0.500 0.399 0.201
Rh11 0.000 0.976 0.500
Rh12 0.500 0.989 0.330
```

***

Here is a geometry-optimized Pr3Si2Rh6 structure from Alexandria. Energies are from PBE.

Results
**SG**: Im-3m (229)
**V**: 422.4 Å³/cell
**Raw formation energy**: -731 meV/atom
**Spin magnetization**: 0.0 μB per cell

Geometry as CIF:
```
data_Pr3Si2Rh6
_chemical_formula_sum 'Pr6 Si4 Rh12'
_cell_length_a 8.187
_cell_length_b 8.187
_cell_length_c 8.187
_cell_angle_alpha 109.47
_cell_angle_beta 109.47
_cell_angle_gamma 109.47
_symmetry_space_group_name_H-M 'P 1'
_symmetry_Int_Tables_number 1
_symmetry_space_group_name_Hall 'P 1'
loop_
_atom_site_label
_atom_site_fract_x
_atom_site_fract_y
_atom_site_fract_z
Pr1 0.706 0.000 0.706
Pr2 0.294 0.000 0.294
Pr3 0.000 0.294 0.294
Pr4 0.000 0.706 0.706
Pr5 0.294 0.294 0.000
Pr6 0.706 0.706 0.000
Si1 0.000 0.500 0.000
Si2 0.500 0.000 0.000
Si3 0.000 0.000 0.500
Si4 0.500 0.500 0.500
Rh1 0.688 0.376 0.688
Rh2 0.688 0.000 0.312
Rh3 0.312 0.000 0.688
Rh4 0.312 0.624 0.312
Rh5 0.000 0.688 0.312
Rh6 0.624 0.312 0.312
Rh7 0.376 0.688 0.688
Rh8 0.000 0.312 0.688
Rh9 0.312 0.688 0.000
Rh10 0.688 0.688 0.376
Rh11 0.312 0.312 0.624
Rh12 0.688 0.312 0.000
```

***

| no. | DFT total energy (eV/atom) |
| --- | --- |
| 1 | -7.09 |
| 2 | -7.03 |